# 1
PIrBr3: relaxed, PBE. Values from VASP.

Calculated values
SG: Pm-3m, No. 221

Geometry as Quantum ESPRESSO input:
```
&SYSTEM
  ibrav = 0, nat = 5, ntyp = 3
/
ATOMIC_SPECIES
P 30.97 P.upf
Ir 192.22 Ir.upf
Br 79.90 Br.upf
CELL_PARAMETERS angstrom
5.0910 0.0000 0.0000
0.0000 5.0910 0.0000
0.0000 0.0000 5.0910
ATOMIC_POSITIONS crystal
P 0.0000 0.0000 0.0000
Ir 0.5000 0.5000 0.5000
Br 0.0000 0.5000 0.5000
Br 0.5000 0.0000 0.5000
Br 0.5000 0.5000 0.0000
```


# 2
P2IrBr: relaxed, PBE. Values from VASP.

Calculated values
SG: Pmmm, No. 47

Geometry as Quantum ESPRESSO input:
```
&SYSTEM
  ibrav = 0, nat = 4, ntyp = 3
/
ATOMIC_SPECIES
P 30.97 P.upf
Ir 192.22 Ir.upf
Br 79.90 Br.upf
CELL_PARAMETERS angstrom
3.6404 0.0000 0.0000
0.0000 3.6618 0.0000
0.0000 0.0000 5.0540
ATOMIC_POSITIONS crystal
P 0.0000 0.0000 0.0000
P 0.5000 0.5000 0.0000
Ir 0.0000 0.0000 0.5000
Br 0.5000 0.5000 0.5000
```


# 3
PIr2Br: relaxed, PBE. Values from VASP.

Calculated values
SG: Cmmm, No. 65

Geometry as Quantum ESPRESSO input:
```
&SYSTEM
  ibrav = 0, nat = 4, ntyp = 3
/
ATOMIC_SPECIES
P 30.97 P.upf
Ir 192.22 Ir.upf
Br 79.90 Br.upf
CELL_PARAMETERS angstrom
1.4641 -2.8893 0.0000
1.4641 2.8893 0.0000
0.0000 0.0000 8.2937
ATOMIC_POSITIONS crystal
P 0.0000 0.0000 0.0000
Ir 0.5000 0.5000 0.2079
Ir 0.5000 0.5000 0.7921
Br 0.0000 0.0000 0.5000
```


# 4
P2IrBr: relaxed, PBE. Values from VASP.

Calculated values
SG: Pm, No. 6

Geometry as Quantum ESPRESSO input:
```
&SYSTEM
  ibrav = 0, nat = 4, ntyp = 3
/
ATOMIC_SPECIES
P 30.97 P.upf
Ir 192.22 Ir.upf
Br 79.90 Br.upf
CELL_PARAMETERS angstrom
3.7459 0.0000 0.0000
0.0000 3.6237 0.0000
-0.4787 0.0000 7.2415
ATOMIC_POSITIONS crystal
P 0.0000 0.0000 0.0000
P 0.3831 0.5000 0.9723
Ir 0.8416 0.5000 0.7822
Br 0.7021 0.0000 0.5341
```


Number 1: ΔE_f (raw) 0.786 eV per atom, ΔE to the lowest computed polymorph 0.000 eV per formula unit, uncorrected energy -3.07 eV per atom. Number 2: ΔE_f (raw) 0.681 eV per atom, ΔE to the lowest computed polymorph 3.554 eV per formula unit, uncorrected energy -4.66 eV per atom. Number 3: ΔE_f (raw) 0.479 eV per atom, ΔE to the lowest computed polymorph 1.408 eV per formula unit, uncorrected energy -5.72 eV per atom. Number 4: ΔE_f (raw) 0.021 eV per atom, ΔE to the lowest computed polymorph 0.912 eV per formula unit, uncorrected energy -5.32 eV per atom.